Record 1
# TiPIrPtCl | Alexandria via LeMat-Bulk | PBE-GGA | optimized geometry
# Magnetization = 0.00 Bohr magnetons per cell
# E_tot = -66.29 eV per cell
# Formation energy (no corrections) = -0.618 eV per atom
# SG = Cm
# Distance to the lowest polymorph of the same formula = 44 meV per atom
data_TiPIrPtCl
_symmetry_space_group_name_H-M 'P 1'
_symmetry_Int_Tables_number 1
_cell_length_a 2.910
_cell_length_b 2.910
_cell_length_c 20.864
_cell_angle_alpha 90.00
_cell_angle_beta 97.80
_cell_angle_gamma 90.00
loop_
_symmetry_equiv_pos_as_xyz
'x,y,z'
loop_
_atom_site_label
_atom_site_type_symbol
_atom_site_fract_x
_atom_site_fract_y
_atom_site_fract_z
P1 P 0.227 0.000 0.759
P2 P 0.227 0.500 0.259
Cl1 Cl 0.545 0.000 0.086
Cl2 Cl 0.545 0.500 0.586
Ti1 Ti 0.973 0.500 0.012
Ti2 Ti 0.973 0.000 0.512
Pt1 Pt 0.388 0.500 0.425
Pt2 Pt 0.388 0.000 0.925
Ir1 Ir 0.787 0.500 0.821
Ir2 Ir 0.787 0.000 0.321

***

Record 2
# RbPIrCl2 | Alexandria via LeMat-Bulk | PBE-GGA | optimized geometry
# Magnetization = 0.00 Bohr magnetons per cell
# E_tot = -21.38 eV per cell
# Formation energy (no corrections) = -0.490 eV per atom
# SG = P4/mmm
# Distance to the lowest polymorph of the same formula = 0 meV per atom
data_RbPIrCl2
_symmetry_space_group_name_H-M 'P 1'
_symmetry_Int_Tables_number 1
_cell_length_a 5.339
_cell_length_b 5.339
_cell_length_c 4.416
_cell_angle_alpha 90.00
_cell_angle_beta 90.00
_cell_angle_gamma 90.00
loop_
_symmetry_equiv_pos_as_xyz
'x,y,z'
loop_
_atom_site_label
_atom_site_type_symbol
_atom_site_fract_x
_atom_site_fract_y
_atom_site_fract_z
Rb1 Rb 0.500 0.500 0.500
P1 P 0.000 0.000 0.500
Cl1 Cl 0.000 0.500 0.000
Cl2 Cl 0.500 0.000 0.000
Ir1 Ir 0.000 0.000 0.000

***

Record 3
# Rb2PIrCl6 | Alexandria via LeMat-Bulk | PBE-GGA | optimized geometry
# Magnetization = 0.00 Bohr magnetons per cell
# E_tot = -35.07 eV per cell
# Formation energy (no corrections) = -0.779 eV per atom
# SG = I4/mmm
data_Rb2PIrCl6
_symmetry_space_group_name_H-M 'P 1'
_symmetry_Int_Tables_number 1
_cell_length_a 7.460
_cell_length_b 7.460
_cell_length_c 6.964
_cell_angle_alpha 57.62
_cell_angle_beta 57.62
_cell_angle_gamma 90.00
loop_
_symmetry_equiv_pos_as_xyz
'x,y,z'
loop_
_atom_site_label
_atom_site_type_symbol
_atom_site_fract_x
_atom_site_fract_y
_atom_site_fract_z
Cl1 Cl 0.255 0.255 0.490
Cl2 Cl 0.768 0.232 0.000
Cl3 Cl 0.232 0.768 0.000
Cl4 Cl 0.768 0.768 0.000
Cl5 Cl 0.745 0.745 0.510
Cl6 Cl 0.232 0.232 0.000
Ir1 Ir 0.000 0.000 0.000
P1 P 0.500 0.500 0.000
Rb1 Rb 0.250 0.750 0.500
Rb2 Rb 0.750 0.250 0.500

***

Record 4
# RbP2IrCl | Alexandria via LeMat-Bulk | PBE-GGA | optimized geometry
# Magnetization = 9.00 Bohr magnetons per cell
# E_tot = -11.46 eV per cell
# Formation energy (no corrections) = 2.207 eV per atom
# SG = P4/mmm
# Distance to the lowest polymorph of the same formula = 2483 meV per atom
data_RbP2IrCl
_symmetry_space_group_name_H-M 'P 1'
_symmetry_Int_Tables_number 1
_cell_length_a 7.189
_cell_length_b 7.189
_cell_length_c 6.021
_cell_angle_alpha 90.00
_cell_angle_beta 90.00
_cell_angle_gamma 90.00
loop_
_symmetry_equiv_pos_as_xyz
'x,y,z'
loop_
_atom_site_label
_atom_site_type_symbol
_atom_site_fract_x
_atom_site_fract_y
_atom_site_fract_z
Cl1 Cl 0.000 0.000 0.500
P1 P 0.500 0.000 0.000
P2 P 0.000 0.500 0.000
Ir1 Ir 0.500 0.500 0.500
Rb1 Rb 0.000 0.000 0.000

***

Q: Number 2 is which compound?
A: RbPIrCl2

***

Repeat the first record exactly.
# TiPIrPtCl | Alexandria via LeMat-Bulk | PBE-GGA | optimized geometry
# Magnetization = 0.00 Bohr magnetons per cell
# E_tot = -66.29 eV per cell
# Formation energy (no corrections) = -0.618 eV per atom
# SG = Cm
# Distance to the lowest polymorph of the same formula = 44 meV per atom
data_TiPIrPtCl
_symmetry_space_group_name_H-M 'P 1'
_symmetry_Int_Tables_number 1
_cell_length_a 2.910
_cell_length_b 2.910
_cell_length_c 20.864
_cell_angle_alpha 90.00
_cell_angle_beta 97.80
_cell_angle_gamma 90.00
loop_
_symmetry_equiv_pos_as_xyz
'x,y,z'
loop_
_atom_site_label
_atom_site_type_symbol
_atom_site_fract_x
_atom_site_fract_y
_atom_site_fract_z
P1 P 0.227 0.000 0.759
P2 P 0.227 0.500 0.259
Cl1 Cl 0.545 0.000 0.086
Cl2 Cl 0.545 0.500 0.586
Ti1 Ti 0.973 0.500 0.012
Ti2 Ti 0.973 0.000 0.512
Pt1 Pt 0.388 0.500 0.425
Pt2 Pt 0.388 0.000 0.925
Ir1 Ir 0.787 0.500 0.821
Ir2 Ir 0.787 0.000 0.321